Compound: Mg2ZnFe3O6
Source: Alexandria via LeMat-Bulk
Functional: PBE with a Hubbard U
Structure: relaxed

Magnetic moment   1.000 μB per atom
Electronic total energy   -6.0580 eV per atom

Unit cell a=13.0738 b=3.0993 c=6.2674 alpha=90.00 beta=103.96 gamma=90.00
Space group C2/m (No. 12)
Inequivalent atoms, fractional coordinates:
Mg (0.1670, 0.0000, 0.3330)
Zn (0.0000, 0.5000, 0.0000)
Fe (0.0000, 0.5000, 0.5000)
Fe (0.1654, 0.0000, 0.8334)
O (0.0008, 0.0000, 0.7594)
O (0.1650, 0.5000, 0.5680)
O (0.1705, 0.5000, 0.0996)